VASP calculation (PBE with a Hubbard U) on an optimized crystal structure of LaVGe2O.

```
5
Lattice="-3.304 -1.048 -3.692 2.488 -2.562 -1.500 -2.036 -3.651 2.858" Properties=species:S:1:pos:R:3 pbc="T T T"
V 1.244 -1.281 -0.750
Ge -1.018 -1.825 1.429
Ge -1.652 -0.524 -1.846
O 0.000 0.000 0.000
La -1.426 -3.630 -1.167
```

Calculated values
N(E_F) in states/eV per cell: 2.5
Final energy in eV per atom: -5.7785